DFT (PBE) results for Ce6PuIn2C after structural relaxation.

## Properties
- energy (Ha/atom) = -0.2543
- crystal system = cubic
- volume (Å³/f.u.) = 249.9

a b c (Å): 7.070 7.070 7.072
angles (deg): 60.00 60.00 90.00
Atoms (fractional coordinates):
Ce1 0.253 0.253 0.494
Ce2 0.747 0.747 0.000
Ce3 0.253 0.747 0.000
Ce4 0.747 0.253 0.000
Ce5 0.253 0.253 0.000
Ce6 0.747 0.747 0.506
Pu1 0.500 0.500 0.000
In1 0.750 0.250 0.500
In2 0.250 0.750 0.500
C1 0.000 0.000 0.000

***

DFT (PBE) results for Ce2ScInC after structural relaxation.

## Properties
- energy (Ha/atom) = -0.2354
- crystal system = tetragonal
- volume (Å³/f.u.) = 115.6

a b c (Å): 4.667 4.977 4.977
angles (deg): 90.00 90.00 90.00
Last column: magnetic moment on the atom in μB.
Atoms (fractional coordinates):
Ce1 0.000 0.000 0.500  0.47
Ce2 0.000 0.500 0.000  0.47
Sc1 0.500 0.000 0.000  0.07
In1 0.500 0.500 0.500  -0.02
C1 0.000 0.000 0.000  -0.03

***

DFT (PBE) results for CeSc2InC after structural relaxation.

## Properties
- energy (Ha/atom) = -0.2417
- crystal system = tetragonal
- volume (Å³/f.u.) = 105.6

a b c (Å): 4.851 4.666 4.666
angles (deg): 90.00 90.00 90.00
Last column: magnetic moment on the atom in μB.
Atoms (fractional coordinates):
Ce1 0.500 0.000 0.000  0.29
Sc1 0.000 0.000 0.500  0.02
Sc2 0.000 0.500 0.000  0.02
In1 0.500 0.500 0.500  -0.01
C1 0.000 0.000 0.000  -0.01

***

DFT (PBE) results for Ce2SmInC after structural relaxation.

## Properties
- energy (Ha/atom) = -0.2221
- crystal system = tetragonal
- volume (Å³/f.u.) = 125.8

a b c (Å): 5.126 4.953 4.953
angles (deg): 90.00 90.00 90.00
Last column: magnetic moment on the atom in μB.
Atoms (fractional coordinates):
Ce1 0.000 0.000 0.500  0.45
Ce2 0.000 0.500 0.000  0.45
Sm1 0.500 0.000 0.000  0.02
In1 0.500 0.500 0.500  -0.02
C1 0.000 0.000 0.000  -0.03

***

DFT (PBE) results for CeSm2InC after structural relaxation.

## Properties
- energy (Ha/atom) = -0.2142
- crystal system = tetragonal
- volume (Å³/f.u.) = 127.3

a b c (Å): 4.900 5.097 5.097
angles (deg): 90.00 90.00 90.00
Last column: magnetic moment on the atom in μB.
Atoms (fractional coordinates):
Ce1 0.500 0.000 0.000  0.29
Sm1 0.000 0.000 0.500  0.01
Sm2 0.000 0.500 0.000  0.01
In1 0.500 0.500 0.500  -0.01
C1 0.000 0.000 0.000  -0.01

***

DFT (PBE) results for Tb2CeInC after structural relaxation.

## Properties
- energy (Ha/atom) = -0.2147
- crystal system = tetragonal
- volume (Å³/f.u.) = 122.1

a b c (Å): 4.898 4.992 4.992
angles (deg): 90.00 90.00 90.00
Last column: magnetic moment on the atom in μB.
Atoms (fractional coordinates):
Tb1 0.000 0.000 0.500  0.02
Tb2 0.000 0.500 0.000  0.02
Ce1 0.500 0.000 0.000  0.32
In1 0.500 0.500 0.500  -0.01
C1 0.000 0.000 0.000  -0.01

***

DFT (PBE) results for Ce2TmInC after structural relaxation.

## Properties
- energy (Ha/atom) = -0.2214
- crystal system = tetragonal
- volume (Å³/f.u.) = 120.9

a b c (Å): 4.909 4.964 4.964
angles (deg): 90.00 90.00 90.00
Last column: magnetic moment on the atom in μB.
Atoms (fractional coordinates):
Ce1 0.000 0.000 0.500  0.47
Ce2 0.000 0.500 0.000  0.47
Tm1 0.500 0.000 0.000  0.05
In1 0.500 0.500 0.500  -0.02
C1 0.000 0.000 0.000  -0.03

***

DFT (PBE) results for CeTm2InC after structural relaxation.

## Properties
- energy (Ha/atom) = -0.2134
- crystal system = tetragonal
- volume (Å³/f.u.) = 117.0

a b c (Å): 4.901 4.885 4.885
angles (deg): 90.00 90.00 90.00
Last column: magnetic moment on the atom in μB.
Atoms (fractional coordinates):
Ce1 0.500 0.000 0.000  0.36
Tm1 0.000 0.000 0.500  0.02
Tm2 0.000 0.500 0.000  0.02
In1 0.500 0.500 0.500  -0.01
C1 0.000 0.000 0.000  -0.02